1.
# Y2InPb

Y2InPb at its PBEsol-relaxed geometry (SCAN, the Alexandria database).

Structure (extended XYZ):
```
4
Lattice="-2.572 3.467 2.269 -1.667 -1.299 -5.145 -4.004 -2.765 -0.315" Properties=species:S:1:pos:R:3 pbc="T T T"
In -3.288 0.351 0.977
Y -5.766 -0.123 -1.108
Y -2.478 -0.474 -2.084
Pb 0.000 0.000 0.000
```

## Properties
Size of the total moment, μB per formula unit: 0.0
VASP energy, eV per atom: -41.88
Space group: I4/mmm, No. 139
Formation energy, eV per atom: -0.66

2.
# LaCl5

LaCl5 at its PBEsol-relaxed geometry (SCAN, the Alexandria database).

Structure (extended XYZ):
```
6
Lattice="-1.848 1.711 3.318 0.573 -4.270 5.135 5.805 3.136 4.231" Properties=species:S:1:pos:R:3 pbc="T T T"
La 0.033 -0.910 3.102
Cl 1.787 0.942 3.124
Cl 3.840 4.185 7.825
Cl 0.075 -1.140 5.859
Cl 2.245 -0.082 9.137
Cl 2.818 1.773 8.499
```

## Properties
Formation energy (no corrections), eV per atom: -1.62
Size of the total moment, μB per formula unit: 0.0
VASP energy, eV per atom: -15.45
Space group: Cm, No. 8

3.
# Ba5Hg

Ba5Hg at its PBEsol-relaxed geometry (SCAN, the Alexandria database).

Structure (extended XYZ):
```
6
Lattice="4.226 0.000 0.000 2.113 7.361 -0.007 2.113 3.245 9.598" Properties=species:S:1:pos:R:3 pbc="T T T"
Ba 4.226 4.940 1.231
Ba 4.226 5.666 8.359
Ba 2.113 5.303 4.795
Ba 6.339 9.335 6.940
Ba 2.113 1.271 2.650
Hg 0.000 0.000 0.000
```

## Properties
Size of the total moment, μB per formula unit: 0.0
VASP energy, eV per atom: -44.53
Space group: C2/m, No. 12
Formation energy, eV per atom: -0.21

4.
# Rb3BaAs

Rb3BaAs at its PBEsol-relaxed geometry (SCAN, the Alexandria database).

Structure (extended XYZ):
```
5
Lattice="-0.176 5.888 -4.550 -4.298 -3.796 -4.746 -6.075 2.515 3.489" Properties=species:S:1:pos:R:3 pbc="T T T"
Ba 0.000 0.000 0.000
Rb -0.088 2.944 -2.275
Rb -3.037 1.257 1.745
Rb -2.149 -1.898 -2.373
As -5.274 2.303 -2.903
```

## Properties
Size of the total moment, μB per formula unit: 0.1
VASP energy, eV per atom: -23.47
Space group: Pm-3m, No. 221
Formation energy, eV per atom: 0.92

5.
# TaCoW

TaCoW at its PBEsol-relaxed geometry (SCAN, the Alexandria database).

Structure (extended XYZ):
```
3
Lattice="4.191 0.000 0.000 2.096 3.630 0.000 2.096 1.210 3.422" Properties=species:S:1:pos:R:3 pbc="T T T"
W 0.000 0.000 0.000
Ta 2.096 1.210 0.856
Co 4.191 2.420 1.711
```

## Properties
Size of the total moment, μB per formula unit: 2.2
VASP energy, eV per atom: -49.89
Space group: F-43m, No. 216
Distance to the lowest polymorph of the same formula, eV per formula unit: 3.153
Formation energy, eV per atom: 1.30

6.
# LiZn2Au

LiZn2Au at its PBEsol-relaxed geometry (SCAN, the Alexandria database).

Structure (extended XYZ):
```
4
Lattice="3.846 0.000 0.000 0.000 3.846 0.002 -1.923 -1.921 3.850" Properties=species:S:1:pos:R:3 pbc="T T T"
Li 1.923 0.001 1.925
Au 0.000 0.001 3.851
Zn 0.000 1.924 1.926
Zn 0.000 0.000 0.000
```

## Properties
Size of the total moment, μB per formula unit: 0.0
VASP energy, eV per atom: -25.04
Space group: I-4m2, No. 119
Distance to the lowest polymorph of the same formula, eV per formula unit: 0.222
Formation energy, eV per atom: -0.39

7.
# TaReAg2

TaReAg2 at its PBEsol-relaxed geometry (SCAN, the Alexandria database).

Structure (extended XYZ):
```
4
Lattice="2.742 0.000 0.015 0.000 4.082 0.000 -0.348 0.000 5.794" Properties=species:S:1:pos:R:3 pbc="T T T"
Ag 1.328 2.041 1.424
Ag 2.722 0.000 0.073
Ta 0.949 2.041 4.280
Re -0.037 0.000 2.945
```

## Properties
Size of the total moment, μB per formula unit: 0.0
VASP energy, eV per atom: -49.79
Space group: Pm, No. 6
Distance to the lowest polymorph of the same formula, eV per formula unit: 0.155
Formation energy, eV per atom: 0.31

8.
# AlSbIN2

AlSbIN2 at its PBEsol-relaxed geometry (SCAN, the Alexandria database).

Structure (extended XYZ):
```
5
Lattice="-3.676 1.787 -0.413 -1.395 -2.125 3.227 1.799 4.577 3.791" Properties=species:S:1:pos:R:3 pbc="T T T"
Al -1.636 2.120 3.303
N -0.698 -1.062 1.613
N -1.838 0.893 -0.207
I 0.899 2.289 1.896
Sb 0.000 0.000 0.000
```

## Properties
Formation energy (no corrections), eV per atom: 1.30
Size of the total moment, μB per formula unit: 1.2
VASP energy, eV per atom: -18.77
Space group: P4/mmm, No. 123

> Which value of VASP energy does entry 7 give?

-49.79 eV per atom

> The lowest VASP energy belongs to which entry?

TaCoW

> What is the VASP energy in the fifth record?

-49.89 eV per atom

> Among the records above, which one has the lowest VASP energy?

TaCoW